Sr2Mg4Cu | GGA-PBE | relaxed

Values from the calculation:
* space-group type: No. 139
* formation energy: 0.060 eV per atom
* DFT total energy: -13.4 eV/cell

abc: 5.013 5.013 9.691
angles: 75.01 75.01 90.00
Fractional positions:
Cu 0.000 0.000 0.000
Mg 0.863 0.863 0.274
Mg 0.500 0.000 0.000
Mg 0.000 0.500 0.000
Mg 0.137 0.137 0.726
Sr 0.665 0.665 0.671
Sr 0.335 0.335 0.329